Entry from the Alexandria database: a relaxed structure of NiSeSN (GGA-PBE).

The magnetization comes out at 0.00 μB/f.u. The value obtained for the formation energy (no corrections) is 37.32 kJ/mol of atoms. The relative energy among the computed polymorphs is 0.1849 eV/atom.

The space group is Cm (No. 8) and the conventional cell measures 6.319, 3.369 and 6.451 Å, with angles of 90.00, 95.65 and 90.00 degrees. The asymmetric unit holds Ni at (0.000, 0.000, 0.000), Se at (0.229, 0.500, 0.547), S at (0.336, 0.000, 0.131) and N at (0.452, 0.500, 0.719).